A plane-wave DFT calculation with GGA-PBE was carried out for a relaxed PrHoAl2S6 crystal.

Results
formation energy from raw total energies = -141 kJ/mol of atoms
space-group type = R3 (146)

Cell: 6.683 6.683 6.683 Å, 59.62 59.62 59.62°
Atoms (fractional coordinates):
Pr 0.000 0.000 0.000
Ho 0.516 0.516 0.516
Al 0.228 0.228 0.228
Al 0.732 0.732 0.732
S 0.082 0.869 0.460
S 0.388 0.562 0.958
S 0.460 0.082 0.869
S 0.562 0.958 0.388
S 0.869 0.460 0.082
S 0.958 0.388 0.562